(1)
# MgIn4Pb15 | Alexandria | PBE | optimized geometry
# energy: -3.392 eV/atom
# DOS(E_F): 12.51 states/eV/f.u.
# calculated volume: 30.31 Å³ per atom
# magnetic moment: 0.00 μB per formula unit
# crystal system: tetragonal
data_MgIn4Pb15
_space_group_name_H-M_alt 'P 1'
_space_group_IT_number 1
_cell_length_a 4.890
_cell_length_b 4.890
_cell_length_c 25.354
_cell_angle_alpha 90.00
_cell_angle_beta 90.00
_cell_angle_gamma 90.00
loop_
_space_group_symop_operation_xyz
'x,y,z'
loop_
_atom_site_label
_atom_site_type_symbol
_atom_site_fract_x
_atom_site_fract_y
_atom_site_fract_z
_atom_site_occupancy
Mg1 Mg 0.000 0.000 0.000 1
In1 In 0.000 0.000 0.198 1
In2 In 0.000 0.000 0.399 1
In3 In 0.000 0.000 0.601 1
In4 In 0.000 0.000 0.802 1
Pb1 Pb 0.500 0.500 0.000 1
Pb2 Pb 0.500 0.500 0.197 1
Pb3 Pb 0.500 0.500 0.399 1
Pb4 Pb 0.500 0.500 0.601 1
Pb5 Pb 0.500 0.500 0.803 1
Pb6 Pb 0.500 0.000 0.097 1
Pb7 Pb 0.500 0.000 0.298 1
Pb8 Pb 0.500 0.000 0.500 1
Pb9 Pb 0.500 0.000 0.702 1
Pb10 Pb 0.500 0.000 0.903 1
Pb11 Pb 0.000 0.500 0.097 1
Pb12 Pb 0.000 0.500 0.298 1
Pb13 Pb 0.000 0.500 0.500 1
Pb14 Pb 0.000 0.500 0.702 1
Pb15 Pb 0.000 0.500 0.903 1

---

(2)
# Mg4InPb4 | Alexandria | PBE | optimized geometry
# energy: -2.682 eV/atom
# DOS(E_F): 4.47 states/eV/f.u.
# calculated volume: 26.68 Å³ per atom
# magnetic moment: 0.00 μB per formula unit
# crystal system: tetragonal
data_Mg4InPb4
_space_group_name_H-M_alt 'P 1'
_space_group_IT_number 1
_cell_length_a 4.662
_cell_length_b 7.546
_cell_length_c 7.546
_cell_angle_alpha 84.52
_cell_angle_beta 72.01
_cell_angle_gamma 72.01
loop_
_space_group_symop_operation_xyz
'x,y,z'
loop_
_atom_site_label
_atom_site_type_symbol
_atom_site_fract_x
_atom_site_fract_y
_atom_site_fract_z
_atom_site_occupancy
Mg1 Mg 0.164 0.173 0.999 1
Mg2 Mg 0.836 0.827 0.001 1
Mg3 Mg 0.837 0.499 0.327 1
Mg4 Mg 0.163 0.501 0.673 1
In1 In 0.500 0.500 0.000 1
Pb1 Pb 0.501 0.180 0.318 1
Pb2 Pb 0.499 0.820 0.682 1
Pb3 Pb 0.181 0.818 0.320 1
Pb4 Pb 0.819 0.182 0.680 1

---

(3)
# Mg5In3Pb | Alexandria | PBE | optimized geometry
# energy: -2.234 eV/atom
# DOS(E_F): 5.30 states/eV/f.u.
# calculated volume: 24.57 Å³ per atom
# magnetic moment: 0.00 μB per formula unit
# crystal system: hexagonal
data_Mg5In3Pb
_space_group_name_H-M_alt 'P 1'
_space_group_IT_number 1
_cell_length_a 6.332
_cell_length_b 8.982
_cell_length_c 8.980
_cell_angle_alpha 120.01
_cell_angle_beta 90.00
_cell_angle_gamma 90.00
loop_
_space_group_symop_operation_xyz
'x,y,z'
loop_
_atom_site_label
_atom_site_type_symbol
_atom_site_fract_x
_atom_site_fract_y
_atom_site_fract_z
_atom_site_occupancy
Mg1 Mg 0.000 0.667 0.333 1
Mg2 Mg 0.500 0.333 0.667 1
Mg3 Mg 0.000 0.333 0.667 1
Mg4 Mg 0.500 0.667 0.333 1
Mg5 Mg 0.750 0.683 0.683 1
Mg6 Mg 0.750 0.000 0.317 1
Mg7 Mg 0.750 0.317 0.000 1
Mg8 Mg 0.250 0.317 0.317 1
Mg9 Mg 0.250 0.000 0.683 1
Mg10 Mg 0.250 0.683 0.000 1
In1 In 0.750 0.359 0.359 1
In2 In 0.750 0.000 0.641 1
In3 In 0.750 0.641 0.000 1
In4 In 0.250 0.641 0.641 1
In5 In 0.250 0.000 0.359 1
In6 In 0.250 0.359 0.000 1
Pb1 Pb 0.000 0.000 0.000 1
Pb2 Pb 0.500 0.000 0.000 1

---

(4)
# Mg2InPb | Alexandria | PBE | optimized geometry
# energy: -2.470 eV/atom
# DOS(E_F): 1.66 states/eV/f.u.
# calculated volume: 25.18 Å³ per atom
# magnetic moment: 0.00 μB per formula unit
# crystal system: monoclinic
data_Mg2InPb
_space_group_name_H-M_alt 'P 1'
_space_group_IT_number 1
_cell_length_a 5.295
_cell_length_b 5.295
_cell_length_c 5.845
_cell_angle_alpha 81.01
_cell_angle_beta 81.01
_cell_angle_gamma 38.56
loop_
_space_group_symop_operation_xyz
'x,y,z'
loop_
_atom_site_label
_atom_site_type_symbol
_atom_site_fract_x
_atom_site_fract_y
_atom_site_fract_z
_atom_site_occupancy
Pb1 Pb 0.750 0.750 0.750 1
Mg1 Mg 0.998 0.998 0.011 1
Mg2 Mg 0.502 0.502 0.489 1
In1 In 0.250 0.250 0.250 1

---

(5)
# Mg6InPb8 | Alexandria | PBE | optimized geometry
# energy: -2.760 eV/atom
# DOS(E_F): 6.99 states/eV/f.u.
# calculated volume: 28.37 Å³ per atom
# magnetic moment: 0.00 μB per formula unit
# crystal system: trigonal
data_Mg6InPb8
_space_group_name_H-M_alt 'P 1'
_space_group_IT_number 1
_cell_length_a 9.777
_cell_length_b 9.777
_cell_length_c 5.140
_cell_angle_alpha 90.00
_cell_angle_beta 90.00
_cell_angle_gamma 120.00
loop_
_space_group_symop_operation_xyz
'x,y,z'
loop_
_atom_site_label
_atom_site_type_symbol
_atom_site_fract_x
_atom_site_fract_y
_atom_site_fract_z
_atom_site_occupancy
Mg1 Mg 0.629 0.513 0.292 1
Mg2 Mg 0.883 0.371 0.292 1
Mg3 Mg 0.487 0.117 0.292 1
Mg4 Mg 0.371 0.487 0.708 1
Mg5 Mg 0.117 0.629 0.708 1
Mg6 Mg 0.513 0.883 0.708 1
In1 In 0.000 0.000 0.500 1
Pb1 Pb 0.998 0.724 0.202 1
Pb2 Pb 0.725 0.002 0.202 1
Pb3 Pb 0.276 0.275 0.202 1
Pb4 Pb 0.002 0.276 0.798 1
Pb5 Pb 0.275 0.998 0.798 1
Pb6 Pb 0.724 0.725 0.798 1
Pb7 Pb 0.333 0.667 0.205 1
Pb8 Pb 0.667 0.333 0.795 1

---

(6)
# Mg3In3Pb | Alexandria | PBE | optimized geometry
# energy: -1.883 eV/atom
# DOS(E_F): 3.12 states/eV/f.u.
# calculated volume: 35.60 Å³ per atom
# magnetic moment: 0.00 μB per formula unit
# crystal system: cubic
# energy above the lowest structure with this stoichiometry: 0.544 eV per atom
data_Mg3In3Pb
_space_group_name_H-M_alt 'P 1'
_space_group_IT_number 1
_cell_length_a 7.928
_cell_length_b 7.928
_cell_length_c 7.928
_cell_angle_alpha 90.00
_cell_angle_beta 90.00
_cell_angle_gamma 90.00
loop_
_space_group_symop_operation_xyz
'x,y,z'
loop_
_atom_site_label
_atom_site_type_symbol
_atom_site_fract_x
_atom_site_fract_y
_atom_site_fract_z
_atom_site_occupancy
Pb1 Pb 0.500 0.500 0.500 1
Pb2 Pb 0.000 0.000 0.000 1
Mg1 Mg 0.250 0.000 0.500 1
Mg2 Mg 0.000 0.500 0.250 1
Mg3 Mg 0.500 0.750 0.000 1
Mg4 Mg 0.750 0.000 0.500 1
Mg5 Mg 0.000 0.500 0.750 1
Mg6 Mg 0.500 0.250 0.000 1
In1 In 0.000 0.250 0.500 1
In2 In 0.000 0.750 0.500 1
In3 In 0.500 0.000 0.750 1
In4 In 0.750 0.500 0.000 1
In5 In 0.500 0.000 0.250 1
In6 In 0.250 0.500 0.000 1